Here is ZnW4 after structural relaxation from the Alexandria database. Energies are from PBE.

Calculated values
* VASP energy: -0.76456 Ry per atom
* calculated formation energy: 20.74 kJ/mol of atoms
* excess energy over the best structure of this formula in the dataset: 0 meV/atom
* DOS(E_F): 3.71 states/eV/f.u.
* space group: I4/mmm (139)

Lattice parameters (Å, degrees): 3.2617 3.2617 14.8596 90.00 90.00 90.00
Fractional coordinates of all 10 atoms:
1 Zn 0.0000 0.0000 0.0000
2 Zn 0.5000 0.5000 0.5000
3 W 0.0000 0.0000 0.1938
4 W 0.0000 0.0000 0.4016
5 W 0.0000 0.0000 0.5984
6 W 0.0000 0.0000 0.8062
7 W 0.5000 0.5000 0.0984
8 W 0.5000 0.5000 0.3062
9 W 0.5000 0.5000 0.6938
10 W 0.5000 0.5000 0.9016